Record 1
DFT (PBE) results for a relaxed structure of BaSr6Ir.

Computed properties:
V = 798 Å³ per cell
raw total energy = -43.785 eV/cell
symmetry = C2/c (15)
formation energy = -127 meV per atom

a b c (Å): 8.314 8.314 14.714
angles (deg): 100.53 100.53 53.29
Atoms (fractional coordinates):
1 Ba 0.092 0.908 0.750
2 Ba 0.908 0.092 0.250
3 Sr 0.078 0.221 0.537
4 Sr 0.202 0.368 0.829
5 Sr 0.221 0.078 0.037
6 Sr 0.327 0.515 0.103
7 Sr 0.368 0.202 0.329
8 Sr 0.485 0.673 0.397
9 Sr 0.515 0.327 0.603
10 Sr 0.632 0.798 0.671
11 Sr 0.673 0.485 0.897
12 Sr 0.779 0.922 0.963
13 Sr 0.798 0.632 0.171
14 Sr 0.922 0.779 0.463
15 Ir 0.000 0.500 0.000
16 Ir 0.500 0.000 0.500

Record 2
DFT (PBE) results for a relaxed structure of BaSr2Ir.

Computed properties:
V = 132 Å³ per cell
raw total energy = -13.004 eV/cell
symmetry = P4/mmm (123)
formation energy = 286 meV per atom
ΔE to the lowest computed polymorph = 0.444 eV per atom

a b c (Å): 4.987 4.987 5.301
angles (deg): 90.00 90.00 90.00
Atoms (fractional coordinates):
1 Ba 0.000 0.000 0.000
2 Sr 0.000 0.500 0.500
3 Sr 0.500 0.000 0.500
4 Ir 0.500 0.500 0.000

Record 3
DFT (PBE) results for a relaxed structure of BaSr4Ir.

Computed properties:
V = 568 Å³ per cell
raw total energy = -36.389 eV/cell
symmetry = C2/c (15)
formation energy = -114 meV per atom
ΔE to the lowest computed polymorph = 0.000 eV per atom

a b c (Å): 10.290 10.290 8.300
angles (deg): 105.23 105.23 42.32
Atoms (fractional coordinates):
1 Ba 0.089 0.911 0.750
2 Ba 0.911 0.089 0.250
3 Sr 0.130 0.280 0.662
4 Sr 0.280 0.130 0.162
5 Sr 0.302 0.485 0.055
6 Sr 0.485 0.302 0.555
7 Sr 0.515 0.698 0.445
8 Sr 0.698 0.515 0.945
9 Sr 0.720 0.870 0.838
10 Sr 0.870 0.720 0.338
11 Ir 0.000 0.500 0.000
12 Ir 0.500 0.000 0.500

Record 4
DFT (PBE) results for a relaxed structure of Ba2Sr4Ir.

Computed properties:
V = 384 Å³ per cell
raw total energy = -19.564 eV/cell
symmetry = I4/mmm (139)
formation energy = -19 meV per atom

a b c (Å): 11.829 11.829 11.829
angles (deg): 151.17 151.17 41.23
Atoms (fractional coordinates):
1 Ba 0.181 0.181 0.000
2 Ba 0.819 0.819 0.000
3 Sr 0.000 0.500 0.500
4 Sr 0.371 0.371 0.000
5 Sr 0.500 0.000 0.500
6 Sr 0.629 0.629 0.000
7 Ir 0.500 0.500 0.000